LaNi2PbF: single point on PBEsol structure, meta-GGA SCAN.

Unit cell a=4.4632 b=4.4632 c=4.7395 alpha=90.00 beta=90.00 gamma=90.00
Closest atoms and distances in Å follow each position.
Positions (direct):
1 La 0.5000 0.5000 0.5000  4 Pb 3.16, 8 Ni 3.26
2 Pb 0.0000 0.0000 0.5000  2 F 2.37
3 F 0.0000 0.0000 0.0000  4 Ni 2.23, 2 Pb 2.37
4 Ni 0.5000 0.0000 0.0000  2 F 2.23
5 Ni 0.0000 0.5000 0.0000  2 F 2.23

Properties
Formation energy (no corrections) in kJ/mol of formula units: -81
VASP energy in eV per atom: -31.12